{
  "formula": "La4FeSb",
  "functional": "PBE-GGA",
  "state": "optimized geometry",
  "formation_energy_uncorrected_ev_per_atom": 0.3997,
  "vol_a3_per_atom": 30.72,
  "dft_energy_ev_per_atom": -4.98,
  "dos_at_fermi_per_ev_atom": 1.492,
  "lattice_angstrom": [[0.000, 4.517, 4.517], [4.517, 0.000, 4.517], [4.517, 4.517, 0.000]],
  "species": ["La", "La", "La", "La", "Fe", "Sb"],
  "frac_coords": [[0.873, 0.376, 0.376], [0.376, 0.376, 0.873], [0.376, 0.873, 0.376], [0.376, 0.376, 0.376], [0.000, 0.000, 0.000], [0.750, 0.750, 0.750]]
}